# 1
The following is a DFT calculation (meta-GGA SCAN) of a crystal of LiSbPb2 relaxed with PBEsol.

Geometry as POSCAR:
```
LiSbPb2
1.0
3.3972 -0.0008 0.0000
-0.0197 5.5637 0.0000
0.0000 0.0000 5.7116
Li Sb Pb
1 1 2
direct
0.5000 0.5000 0.5000
0.0000 0.0000 0.5000
0.2277 0.2518 0.0000
0.7723 0.7482 0.0000
```

Values from the calculation:
VASP energy in eV/atom: -47.90
SG: P2/m, No. 10
E_form (uncorrected) in eV/atom: -0.10

# 2
The following is a DFT calculation (meta-GGA SCAN) of a crystal of SbTeW2 relaxed with PBEsol.

Geometry as POSCAR:
```
SbTeW2
1.0
-3.2793 0.2161 0.2798
-0.4693 -4.9595 -1.6705
2.1356 0.9442 4.8600
W Sb Te
2 1 1
direct
0.7459 0.7459 0.4919
0.2541 0.2541 0.5081
0.0000 0.5000 0.0000
0.5000 0.0000 0.0000
```

Values from the calculation:
VASP energy in eV/atom: -52.21
SG: Immm, No. 71
E_form (uncorrected) in eV/atom: 1.27

# 3
The following is a DFT calculation (meta-GGA SCAN) of a crystal of Ca3InH relaxed with PBEsol.

Geometry as POSCAR:
```
Ca3InH
1.0
-0.0681 0.2392 4.9125
-4.1152 -2.6933 0.0741
2.6935 -4.1089 0.2374
Ca In H
3 1 1
direct
0.0000 0.5000 0.0000
0.5000 0.0000 0.0000
0.0000 0.0000 0.5000
0.5000 0.5000 0.5000
0.0000 0.0000 0.0000
```

Values from the calculation:
VASP energy in eV/atom: -13.60
SG: Pm-3m, No. 221

# 4
The following is a DFT calculation (meta-GGA SCAN) of a crystal of La2TaSi relaxed with PBEsol.

Geometry as POSCAR:
```
La2TaSi
1.0
4.4966 0.0000 0.0000
0.0000 4.4966 0.0000
-2.2483 -2.2483 4.6049
La Ta Si
2 1 1
direct
0.7500 0.2500 0.5000
0.2500 0.7500 0.5000
0.5000 0.5000 0.0000
0.0000 0.0000 0.0000
```

Values from the calculation:
VASP energy in eV/atom: -40.40
SG: I4/mmm, No. 139
E_form (uncorrected) in eV/atom: 0.31

# 5
The following is a DFT calculation (meta-GGA SCAN) of a crystal of ZnS2N2 relaxed with PBEsol.

Geometry as POSCAR:
```
ZnS2N2
1.0
-2.4128 1.7433 -2.2986
-2.6412 -2.8381 0.6200
-1.4472 2.0120 3.0451
N S Zn
2 2 1
direct
0.0000 0.0000 0.0000
0.5000 0.0000 0.0000
0.0000 0.5000 0.0000
0.0000 0.0000 0.5000
0.5000 0.5000 0.5000
```

Values from the calculation:
VASP energy in eV/atom: -8.57
SG: P4/mmm, No. 123
E_form (uncorrected) in eV/atom: 1.70

# 6
The following is a DFT calculation (meta-GGA SCAN) of a crystal of HoNi2P2 relaxed with PBEsol.

Geometry as POSCAR:
```
HoNi2P2
1.0
3.8147 0.0000 0.0000
0.0000 3.8147 0.0000
-1.9074 -1.9074 4.6266
Ni P Ho
2 2 1
direct
0.7500 0.2500 0.5000
0.2500 0.7500 0.5000
0.3773 0.3773 0.7547
0.6227 0.6227 0.2453
0.0000 0.0000 0.0000
```

Values from the calculation:
VASP energy in eV/atom: -21.50
Formation energy from the elements in eV per atom: -1.077
SG: I4/mmm, No. 139

# 7
The following is a DFT calculation (meta-GGA SCAN) of a crystal of SrBeRe2 relaxed with PBEsol.

Geometry as POSCAR:
```
SrBeRe2
1.0
3.7952 0.0000 0.0000
0.0000 3.7952 0.0000
0.0000 0.0000 4.7226
Sr Be Re
1 1 2
direct
0.5000 0.5000 0.5000
0.0000 0.0000 0.5000
0.0000 0.5000 0.0000
0.5000 0.0000 0.0000
```

Values from the calculation:
VASP energy in eV/atom: -40.98
Formation energy from the elements in eV per atom: 1.222
SG: P4/mmm, No. 123

# 8
The following is a DFT calculation (meta-GGA SCAN) of a crystal of TbF3 relaxed with PBEsol.

Geometry as POSCAR:
```
TbF3
1.0
-1.2846 2.8582 -2.9824
-4.8493 1.7771 3.7918
3.9861 4.7754 2.8597
F Tb
12 4
direct
0.8842 0.6651 0.9367
0.3842 0.8349 0.0633
0.6158 0.1651 0.9367
0.0823 0.0203 0.7500
0.4177 0.5203 0.7500
0.5823 0.4797 0.2500
0.9177 0.9797 0.2500
0.3842 0.8349 0.4367
0.1158 0.3349 0.0633
0.1158 0.3349 0.4367
0.8842 0.6651 0.5633
0.6158 0.1651 0.5633
0.5658 0.8693 0.7500
0.9342 0.3693 0.7500
0.0658 0.6307 0.2500
0.4342 0.1307 0.2500
```

Values from the calculation:
VASP energy in eV/atom: -18.81
SG: Pnma, No. 62
E_form (uncorrected) in eV/atom: -4.46